# 1
The following is a DFT calculation (PBE) of a geometry-optimized SrCoW2 structure.

Fermi-level density of states (states/eV per atom): 1.095
Distance to the lowest polymorph of the same formula (meV/atom): 419.3
Spin magnetization (μB per atom): 0.2672
E_form (eV per atom): 1.085
Crystal system: cubic

```
data_SrCoW2
_chemical_formula_sum 'Sr1 Co1 W2'
_symmetry_space_group_name_H-M 'P 1'
_symmetry_Int_Tables_number 1
_symmetry_space_group_name_Hall 'P 1'
_cell_length_a 4.650
_cell_length_b 4.650
_cell_length_c 4.650
_cell_angle_alpha 60.00
_cell_angle_beta 60.00
_cell_angle_gamma 60.00
loop_
_atom_site_label
_atom_site_fract_x
_atom_site_fract_y
_atom_site_fract_z
W1 0.250 0.250 0.250
Co1 0.500 0.500 0.500
Sr1 0.750 0.750 0.750
W2 0.000 0.000 0.000
```

=====

# 2
The following is a DFT calculation (PBE) of a geometry-optimized Be2HgIrPd structure.

Fermi-level density of states (states/eV per atom): 0.515
Spin magnetization (μB per atom): 0.0000
E_form (eV per atom): 0.559
Crystal system: tetragonal

```
data_Be2HgIrPd
_chemical_formula_sum 'Be2 Hg1 Ir1 Pd1'
_symmetry_space_group_name_H-M 'P 1'
_symmetry_Int_Tables_number 1
_symmetry_space_group_name_Hall 'P 1'
_cell_length_a 4.160
_cell_length_b 5.161
_cell_length_c 4.160
_cell_angle_alpha 90.00
_cell_angle_beta 90.00
_cell_angle_gamma 90.00
loop_
_atom_site_label
_atom_site_fract_x
_atom_site_fract_y
_atom_site_fract_z
Pd1 0.000 0.500 0.000
Ir1 0.000 0.000 0.000
Be1 0.500 0.000 0.000
Be2 0.000 0.000 0.500
Hg1 0.500 0.500 0.500
```